Entry 1:
# LiTb2H

LiTb2H after structural relaxation (PBE, the Alexandria database).

abc: 3.488 3.488 9.238
angles: 79.12 79.12 60.00
Fractional coordinates of all 4 atoms:
H (0.500, 0.500, 0.500)
Tb (0.117, 0.117, 0.649)
Tb (0.883, 0.883, 0.351)
Li (0.000, 0.000, 0.000)

## Properties
The size of the total moment comes out at 0.00 μB/f.u. As for the space group: R-3m, No. 166. The calculation puts the density of states at the Fermi level at 2.7 states/eV per cell.

---

Entry 2:
# LiTbH

LiTbH after structural relaxation (PBE, the Alexandria database).

abc: 3.767 3.741 9.371
angles: 78.80 90.00 120.23
Fractional coordinates of all 6 atoms:
H (0.302, 0.604, 0.598)
H (0.698, 0.396, 0.402)
Tb (0.620, 0.239, 0.649)
Tb (0.380, 0.761, 0.351)
Li (0.806, 0.611, 0.083)
Li (0.194, 0.389, 0.917)

## Properties
The size of the total moment comes out at 0.00 μB/f.u. As for the space group: C2/m, No. 12. The calculation puts the density of states at the Fermi level at 1.2 states/eV per cell.

---

Entry 3:
# Li2TbH4

Li2TbH4 after structural relaxation (PBE, the Alexandria database).

abc: 4.194 4.194 6.385
angles: 70.82 70.82 90.00
Fractional coordinates of all 7 atoms:
H (0.811, 0.811, 0.377)
H (0.189, 0.189, 0.623)
H (0.000, 0.500, 0.000)
H (0.500, 0.000, 0.000)
Tb (0.000, 0.000, 0.000)
Li (0.657, 0.657, 0.685)
Li (0.343, 0.343, 0.315)

## Properties
The size of the total moment comes out at 0.00 μB/f.u. As for the space group: I4/mmm, No. 139. The calculation puts the density of states at the Fermi level at 2.4 states/eV per cell.

---

Entry 4:
# Li3TcH6

Li3TcH6 after structural relaxation (PBE, the Alexandria database).

abc: 4.789 4.989 4.989
angles: 59.23 60.53 60.53
Site moments in Bohr magnetons follow the coordinates.
Fractional coordinates of all 10 atoms:
Li (0.281, 0.249, 0.249)  0.00
Li (0.719, 0.751, 0.751)  0.00
Li (0.000, 0.000, 0.000)  -0.01
Tc (0.500, 0.500, 0.500)  1.74
H (0.339, 0.179, 0.665)  -0.01
H (0.661, 0.335, 0.821)  -0.01
H (0.661, 0.821, 0.335)  -0.01
H (0.339, 0.665, 0.179)  -0.01
H (0.139, 0.734, 0.734)  0.00
H (0.861, 0.266, 0.266)  0.00

## Properties
The size of the total moment comes out at 2.00 μB/f.u. As for the space group: C2/m, No. 12. The calculation puts the density of states at the Fermi level at 3.7 states/eV per cell.

---

Entry 5:
# Li3TcH6

Li3TcH6 after structural relaxation (PBE, the Alexandria database).

abc: 3.105 5.332 8.633
angles: 90.00 90.00 90.00
Site moments in Bohr magnetons follow the coordinates.
Fractional coordinates of all 20 atoms:
Li (0.500, 0.848, 0.758)  0.00
Li (0.500, 0.500, 0.000)  0.00
Li (0.500, 0.152, 0.242)  0.00
Li (0.000, 0.652, 0.258)  0.00
Li (0.000, 0.000, 0.500)  0.00
Li (0.000, 0.348, 0.742)  0.00
Tc (0.500, 0.500, 0.500)  -0.13
Tc (0.000, 0.000, 0.000)  -0.13
H (0.500, 0.148, 0.930)  0.00
H (0.500, 0.191, 0.580)  0.00
H (0.500, 0.476, 0.294)  0.00
H (0.500, 0.524, 0.706)  0.00
H (0.500, 0.809, 0.420)  0.00
H (0.500, 0.852, 0.070)  0.00
H (0.000, 0.352, 0.430)  0.00
H (0.000, 0.309, 0.080)  0.00
H (0.000, 0.024, 0.794)  0.00
H (0.000, 0.976, 0.206)  0.00
H (0.000, 0.691, 0.920)  0.00
H (0.000, 0.648, 0.570)  0.00

## Properties
The size of the total moment comes out at 0.12 μB/f.u. As for the space group: Pnnm, No. 58. The calculation puts the density of states at the Fermi level at 2.1 states/eV per cell.

---

Entry 6:
# Li2TcH5

Li2TcH5 after structural relaxation (PBE, the Alexandria database).

abc: 2.914 5.364 5.311
angles: 101.12 123.32 105.73
Site moments in Bohr magnetons follow the coordinates.
Fractional coordinates of all 8 atoms:
Li (0.583, 0.701, 0.273)  0.00
Li (0.279, 0.321, 0.661)  0.00
Tc (0.990, 0.034, 0.015)  0.37
H (0.794, 0.693, 0.989)  0.00
H (0.365, 0.031, 0.391)  0.00
H (0.144, 0.854, 0.759)  0.00
H (0.049, 0.334, 0.924)  0.00
H (0.796, 0.255, 0.210)  0.00

## Properties
The size of the total moment comes out at 0.39 μB/f.u. As for the space group: Cm, No. 8. The calculation puts the density of states at the Fermi level at 1.6 states/eV per cell.

---

Entry 7:
# LiTc2H2

LiTc2H2 after structural relaxation (PBE, the Alexandria database).

abc: 5.801 5.801 2.763
angles: 90.00 90.00 90.00
Fractional coordinates of all 10 atoms:
H (0.300, 0.800, 0.000)
H (0.800, 0.700, 0.000)
H (0.700, 0.200, 0.000)
H (0.200, 0.300, 0.000)
Tc (0.142, 0.642, 0.500)
Tc (0.642, 0.858, 0.500)
Tc (0.858, 0.358, 0.500)
Tc (0.358, 0.142, 0.500)
Li (0.000, 0.000, 0.000)
Li (0.500, 0.500, 0.000)

## Properties
The size of the total moment comes out at 0.00 μB/f.u. As for the space group: P4/mbm, No. 127. The calculation puts the density of states at the Fermi level at 5.6 states/eV per cell.

---

Entry 8:
# Li4TcH5

Li4TcH5 after structural relaxation (PBE, the Alexandria database).

abc: 3.751 4.991 4.991
angles: 81.88 67.93 67.93
Fractional coordinates of all 10 atoms:
Li (0.380, 0.407, 0.835)
Li (0.787, 0.835, 0.593)
Li (0.215, 0.165, 0.407)
Li (0.622, 0.593, 0.165)
Tc (0.001, 0.000, 0.000)
H (0.938, 0.330, 0.795)
H (0.268, 0.795, 0.670)
H (0.734, 0.205, 0.330)
H (0.064, 0.670, 0.205)
H (0.501, 0.000, 0.000)

## Properties
The size of the total moment comes out at 0.00 μB/f.u. As for the space group: I4/m, No. 87.

---

The evaluated E for the records listed, in turn: -0.2685 -0.2600 -0.2415 -0.2755 -0.2863 -0.2980 -0.4055 -0.2815 Ry per atom.